The following is a DFT calculation (PBE) of crystalline GdMgIrPt at its relaxed geometry.

Crystal system   cubic
Symmetry   No. 216
DFT formation energy   -0.720 eV/atom
DOS at the Fermi energy   2.24 states/eV per cell

Geometry as CIF:
```
data_GdMgIrPt
_cell_length_a 4.734
_cell_length_b 4.734
_cell_length_c 4.734
_cell_angle_alpha 60.00
_cell_angle_beta 60.00
_cell_angle_gamma 60.00
_symmetry_space_group_name_H-M 'P 1'
_symmetry_Int_Tables_number 1
loop_
_symmetry_equiv_pos_as_xyz
'x,y,z'
loop_
_atom_site_label
_atom_site_fract_x
_atom_site_fract_y
_atom_site_fract_z
_atom_site_occupancy
Mg1 0.000 0.000 0.000 1
Gd1 0.500 0.500 0.500 1
Ir1 0.250 0.250 0.250 1
Pt1 0.750 0.750 0.750 1
```


The following is a DFT calculation (PBE) of crystalline Tm11Tl9Au4 at its relaxed geometry.

Crystal system   orthorhombic
Symmetry   No. 65
DFT formation energy   -0.493 eV/atom
DOS at the Fermi energy   14.65 states/eV per cell

Geometry as CIF:
```
data_Tm11Tl9Au4
_cell_length_a 3.710
_cell_length_b 13.327
_cell_length_c 13.327
_cell_angle_alpha 112.75
_cell_angle_beta 90.00
_cell_angle_gamma 90.00
_symmetry_space_group_name_H-M 'P 1'
_symmetry_Int_Tables_number 1
loop_
_symmetry_equiv_pos_as_xyz
'x,y,z'
loop_
_atom_site_label
_atom_site_fract_x
_atom_site_fract_y
_atom_site_fract_z
_atom_site_occupancy
Tl1 0.500 0.061 0.211 1
Tl2 0.500 0.939 0.789 1
Tl3 0.500 0.146 0.632 1
Tl4 0.500 0.789 0.939 1
Tl5 0.500 0.854 0.368 1
Tl6 0.500 0.500 0.500 1
Tl7 0.500 0.211 0.061 1
Tl8 0.500 0.368 0.854 1
Tl9 0.500 0.632 0.146 1
Tm1 0.000 0.925 0.585 1
Tm2 0.000 0.302 0.302 1
Tm3 0.000 0.631 0.369 1
Tm4 0.000 0.585 0.925 1
Tm5 0.000 0.000 0.000 1
Tm6 0.000 0.162 0.838 1
Tm7 0.000 0.838 0.162 1
Tm8 0.000 0.369 0.631 1
Tm9 0.000 0.698 0.698 1
Tm10 0.000 0.075 0.415 1
Tm11 0.000 0.415 0.075 1
Au1 0.500 0.251 0.450 1
Au2 0.500 0.749 0.550 1
Au3 0.500 0.550 0.749 1
Au4 0.500 0.450 0.251 1
```


The following is a DFT calculation (PBE) of crystalline LiHoThTl at its relaxed geometry.

Crystal system   cubic
Symmetry   No. 216
DFT formation energy   -0.029 eV/atom
DOS at the Fermi energy   3.50 states/eV per cell

Geometry as CIF:
```
data_LiHoThTl
_cell_length_a 5.346
_cell_length_b 5.346
_cell_length_c 5.346
_cell_angle_alpha 60.00
_cell_angle_beta 60.00
_cell_angle_gamma 60.00
_symmetry_space_group_name_H-M 'P 1'
_symmetry_Int_Tables_number 1
loop_
_symmetry_equiv_pos_as_xyz
'x,y,z'
loop_
_atom_site_label
_atom_site_fract_x
_atom_site_fract_y
_atom_site_fract_z
_atom_site_occupancy
Tl1 0.500 0.500 0.500 1
Th1 0.250 0.250 0.250 1
Ho1 0.750 0.750 0.750 1
Li1 0.000 0.000 0.000 1
```